Record 1
DFT (PBE) results for crystalline VTe3Au at its relaxed geometry.

Computed properties:
- E_form (uncorrected) (eV per formula unit) = 4.12
- energy relative to the lowest polymorph listed for this composition (eV per atom) = 0.709
- symmetry = No. 221
- magnetization (μB/cell) = 2.699

POSCAR file:
```
VTe3Au
1.0
5.425 0.000 0.000
0.000 5.425 0.000
0.000 0.000 5.425
Te Au V
3 1 1
Direct
0.500 0.000 0.000 Te
0.000 0.500 0.000 Te
0.000 0.000 0.500 Te
0.000 0.000 0.000 Au
0.500 0.500 0.500 V
```

Record 2
DFT (PBE) results for crystalline V2Te2Au at its relaxed geometry.

Computed properties:
- E_form (uncorrected) (eV per formula unit) = 0.08
- symmetry = No. 127
- magnetization (μB/cell) = 1.869

POSCAR file:
```
V2Te2Au
1.0
7.305 0.000 0.000
0.000 7.305 0.000
0.000 0.000 3.563
V Au Te
4 2 4
Direct
0.632 0.132 0.000 V
0.368 0.868 0.000 V
0.132 0.368 0.000 V
0.868 0.632 0.000 V
0.500 0.500 0.000 Au
0.000 0.000 0.000 Au
0.341 0.159 0.500 Te
0.841 0.341 0.500 Te
0.159 0.659 0.500 Te
0.659 0.841 0.500 Te
```

Record 3
DFT (PBE) results for crystalline VZn2TeAu at its relaxed geometry.

Computed properties:
- E_form (uncorrected) (eV per formula unit) = 5.36
- symmetry = No. 123
- magnetization (μB/cell) = 3.792

POSCAR file:
```
VZn2TeAu
1.0
5.154 0.000 0.000
0.000 5.410 0.000
0.000 0.000 5.154
Zn Au Te V
2 1 1 1
Direct
0.500 0.000 0.000 Zn
0.000 0.000 0.500 Zn
0.000 0.500 0.000 Au
0.000 0.000 0.000 Te
0.500 0.500 0.500 V
```